No. 1
Below is an optimized crystal structure of RbAsRu3, with properties calculated at the PBE-GGA level.

a = 4.7940 Å, b = 4.7940 Å, c = 4.7940 Å
α = 90.00°, β = 90.00°, γ = 90.00°
Last column: nearest neighbours and their distance in Å.
Fractional positions:
1 Ru 0.5000 0.0000 0.0000  2 Rb 2.40
2 Ru 0.0000 0.0000 0.5000  2 Rb 2.40
3 Ru 0.0000 0.5000 0.0000  2 Rb 2.40
4 Rb 0.0000 0.0000 0.0000  6 Ru 2.40
5 As 0.5000 0.5000 0.5000  12 Ru 3.39

energy: -3.66 eV/atom
ΔE to the lowest computed polymorph: 1941.3 meV/atom

=====

No. 2
Below is an optimized crystal structure of YAl2In, with properties calculated at the PBE-GGA level.

a = 4.4391 Å, b = 4.4391 Å, c = 4.3138 Å
α = 90.00°, β = 90.00°, γ = 90.00°
Last column: nearest neighbours and their distance in Å.
Fractional positions:
1 Y 0.0000 0.5000 0.5000  8 Al 3.09, 4 In 3.14
2 In 0.5000 0.0000 0.5000  8 Al 3.09, 4 Y 3.14
3 Al 0.5000 0.5000 0.0000  4 In 3.09, 4 Y 3.09, 4 Al 3.14
4 Al 0.0000 0.0000 0.0000  4 In 3.09, 4 Y 3.09, 4 Al 3.14

energy: -4.55 eV/atom

=====

Number 1: formation energy 3029 meV per atom. Number 2: formation energy -379 meV per atom.